# GGA-PBEsol CoSeBr2, relaxed
data_CoSeBr2
_chemical_formula_sum 'Co1 Se1 Br2'
_space_group_name_H-M_alt 'P 1'
_space_group_IT_number 1
_space_group_name_Hall 'P 1'
_cell_length_a 3.024
_cell_length_b 3.024
_cell_length_c 9.815
_cell_angle_alpha 90.00
_cell_angle_beta 90.00
_cell_angle_gamma 90.00
loop_
_atom_site_label
_atom_site_type_symbol
_atom_site_fract_x
_atom_site_fract_y
_atom_site_fract_z
Br1 Br 0.000 0.000 0.162
Co1 Co 0.500 0.500 0.000
Se1 Se 0.500 0.500 0.500
Br2 Br 0.000 0.000 0.838
# Raw formation energy = 0.3965 eV per atom
# Final energy = -3.44 eV per atom

***

# GGA-PBEsol K2HgP2Se6, relaxed
data_K2HgP2Se6
_chemical_formula_sum 'K8 Hg4 P8 Se24'
_space_group_name_H-M_alt 'P 1'
_space_group_IT_number 1
_space_group_name_Hall 'P 1'
_cell_length_a 7.099
_cell_length_b 12.824
_cell_length_c 14.436
_cell_angle_alpha 111.14
_cell_angle_beta 90.00
_cell_angle_gamma 90.00
loop_
_atom_site_label
_atom_site_type_symbol
_atom_site_fract_x
_atom_site_fract_y
_atom_site_fract_z
K1 K 0.458 0.897 0.125
Se1 Se 0.848 0.599 0.503
Se2 Se 0.477 0.094 0.355
Se3 Se 0.502 0.368 0.300
Se4 Se 0.977 0.906 0.145
K2 K 0.967 0.411 0.283
Se5 Se 0.722 0.359 0.563
Se6 Se 0.192 0.160 0.154
Se7 Se 0.318 0.884 0.901
Se8 Se 0.808 0.840 0.846
P1 P 0.542 0.040 0.583
Se9 Se 0.222 0.641 0.937
Hg1 Hg 0.379 0.259 0.528
K3 K 0.533 0.411 0.783
K4 K 0.033 0.589 0.717
Se10 Se 0.182 0.884 0.401
Se11 Se 0.998 0.368 0.800
P2 P 0.113 0.479 0.939
P3 P 0.387 0.479 0.439
Se12 Se 0.682 0.116 0.099
Se13 Se 0.692 0.840 0.346
Se14 Se 0.023 0.094 0.855
K5 K 0.042 0.897 0.625
Se15 Se 0.523 0.906 0.645
P4 P 0.887 0.521 0.061
Hg2 Hg 0.121 0.259 0.028
P5 P 0.958 0.040 0.083
Se16 Se 0.278 0.641 0.437
P6 P 0.042 0.960 0.917
Se17 Se 0.778 0.359 0.063
Se18 Se 0.498 0.632 0.700
Se19 Se 0.308 0.160 0.654
Se20 Se 0.002 0.632 0.200
Se21 Se 0.348 0.401 0.997
Hg3 Hg 0.621 0.741 0.472
Se22 Se 0.818 0.116 0.599
P7 P 0.613 0.521 0.561
K6 K 0.958 0.103 0.375
K7 K 0.467 0.589 0.217
Se23 Se 0.652 0.599 0.003
K8 K 0.542 0.103 0.875
Hg4 Hg 0.879 0.741 0.972
P8 P 0.458 0.960 0.417
Se24 Se 0.152 0.401 0.497
# Raw formation energy = -0.5141 eV per atom
# Final energy = -3.92 eV per atom

***

# GGA-PBEsol Tl2PO4, relaxed
data_Tl2PO4
_chemical_formula_sum 'Tl8 P4 O16'
_space_group_name_H-M_alt 'P 1'
_space_group_IT_number 1
_space_group_name_Hall 'P 1'
_cell_length_a 5.578
_cell_length_b 7.918
_cell_length_c 9.609
_cell_angle_alpha 90.00
_cell_angle_beta 90.00
_cell_angle_gamma 90.00
loop_
_atom_site_label
_atom_site_type_symbol
_atom_site_fract_x
_atom_site_fract_y
_atom_site_fract_z
Tl1 Tl 0.750 0.638 0.484
Tl2 Tl 0.750 0.106 0.685
P1 P 0.250 0.882 0.642
Tl3 Tl 0.250 0.394 0.185
Tl4 Tl 0.250 0.862 0.984
P2 P 0.750 0.118 0.358
O1 O 0.250 0.053 0.565
Tl5 Tl 0.750 0.138 0.016
O2 O 0.750 0.263 0.468
O3 O 0.250 0.737 0.532
O4 O 0.750 0.763 0.032
O5 O 0.750 0.447 0.065
O6 O 0.477 0.368 0.762
O7 O 0.250 0.553 0.935
Tl6 Tl 0.750 0.606 0.815
O8 O 0.750 0.947 0.435
O9 O 0.023 0.868 0.738
P3 P 0.250 0.382 0.858
O10 O 0.477 0.868 0.738
O11 O 0.250 0.237 0.968
Tl7 Tl 0.250 0.362 0.516
O12 O 0.977 0.132 0.262
O13 O 0.977 0.632 0.238
P4 P 0.750 0.618 0.142
O14 O 0.523 0.132 0.262
O15 O 0.023 0.368 0.762
Tl8 Tl 0.250 0.894 0.315
O16 O 0.523 0.632 0.238
# Raw formation energy = -1.4875 eV per atom
# Final energy = -6.07 eV per atom

***

# GGA-PBEsol CsSiS2Cl, relaxed
data_CsSiS2Cl
_chemical_formula_sum 'Cs1 Si1 S2 Cl1'
_space_group_name_H-M_alt 'P 1'
_space_group_IT_number 1
_space_group_name_Hall 'P 1'
_cell_length_a 5.349
_cell_length_b 5.349
_cell_length_c 5.832
_cell_angle_alpha 90.00
_cell_angle_beta 90.00
_cell_angle_gamma 90.00
loop_
_atom_site_label
_atom_site_type_symbol
_atom_site_fract_x
_atom_site_fract_y
_atom_site_fract_z
Cl1 Cl 0.000 0.000 0.500
Si1 Si 0.500 0.500 0.500
Cs1 Cs 0.000 0.000 0.000
S1 S 0.500 0.000 0.000
S2 S 0.000 0.500 0.000
# Raw formation energy = 1.1275 eV per atom
# Final energy = -2.37 eV per atom

***

# GGA-PBEsol LiFe2Te, relaxed
data_LiFe2Te
_chemical_formula_sum 'Li1 Fe2 Te1'
_space_group_name_H-M_alt 'P 1'
_space_group_IT_number 1
_space_group_name_Hall 'P 1'
_cell_length_a 3.719
_cell_length_b 3.719
_cell_length_c 4.794
_cell_angle_alpha 112.82
_cell_angle_beta 112.82
_cell_angle_gamma 90.00
loop_
_atom_site_label
_atom_site_type_symbol
_atom_site_fract_x
_atom_site_fract_y
_atom_site_fract_z
Te1 Te 0.500 0.500 0.000
Li1 Li 0.000 0.000 0.000
Fe1 Fe 0.750 0.250 0.500
Fe2 Fe 0.250 0.750 0.500
# Raw formation energy = 0.1084 eV per atom
# Final energy = -5.75 eV per atom

***

# GGA-PBEsol Ba2ScH, relaxed
data_Ba2ScH
_chemical_formula_sum 'Ba2 Sc1 H1'
_space_group_name_H-M_alt 'P 1'
_space_group_IT_number 1
_space_group_name_Hall 'P 1'
_cell_length_a 5.771
_cell_length_b 5.771
_cell_length_c 5.771
_cell_angle_alpha 60.00
_cell_angle_beta 60.00
_cell_angle_gamma 60.00
loop_
_atom_site_label
_atom_site_type_symbol
_atom_site_fract_x
_atom_site_fract_y
_atom_site_fract_z
Sc1 Sc 0.500 0.500 0.500
Ba1 Ba 0.750 0.750 0.750
H1 H 0.000 0.000 0.000
Ba2 Ba 0.250 0.250 0.250
# Final energy = -2.86 eV per atom

***

# GGA-PBEsol DyZn12, relaxed
data_DyZn12
_chemical_formula_sum 'Dy1 Zn12'
_space_group_name_H-M_alt 'P 1'
_space_group_IT_number 1
_space_group_name_Hall 'P 1'
_cell_length_a 5.032
_cell_length_b 6.673
_cell_length_c 6.673
_cell_angle_alpha 81.83
_cell_angle_beta 67.85
_cell_angle_gamma 67.85
loop_
_atom_site_label
_atom_site_type_symbol
_atom_site_fract_x
_atom_site_fract_y
_atom_site_fract_z
Zn1 Zn 0.500 0.500 0.000
Zn2 Zn 0.000 0.354 0.646
Zn3 Zn 0.000 0.000 0.500
Zn4 Zn 0.646 0.354 0.354
Zn5 Zn 0.500 0.784 0.216
Zn6 Zn 0.500 0.216 0.784
Zn7 Zn 0.716 0.784 0.784
Zn8 Zn 0.000 0.646 0.354
Zn9 Zn 0.284 0.216 0.216
Zn10 Zn 0.500 0.000 0.500
Dy1 Dy 0.000 0.000 0.000
Zn11 Zn 0.000 0.500 0.000
Zn12 Zn 0.354 0.646 0.646
# ΔE_f = -2.6 eV/f.u.
# Final energy = -2.04 eV per atom

***

# GGA-PBEsol TaCrIr2, relaxed
data_TaCrIr2
_chemical_formula_sum 'Ta1 Cr1 Ir2'
_space_group_name_H-M_alt 'P 1'
_space_group_IT_number 1
_space_group_name_Hall 'P 1'
_cell_length_a 2.758
_cell_length_b 3.740
_cell_length_c 5.520
_cell_angle_alpha 90.00
_cell_angle_beta 90.00
_cell_angle_gamma 90.00
loop_
_atom_site_label
_atom_site_type_symbol
_atom_site_fract_x
_atom_site_fract_y
_atom_site_fract_z
Cr1 Cr 0.500 0.500 0.500
Ta1 Ta 0.500 0.500 0.000
Ir1 Ir 0.000 0.000 0.735
Ir2 Ir 0.000 0.000 0.265
# ΔE_f = -1.5 eV/f.u.
# Final energy = -10.97 eV per atom
# Energy relative to the lowest polymorph listed for this composition = 0.20 eV/f.u.

***

# GGA-PBEsol SrEuCo2O6, relaxed
data_SrEuCo2O6
_chemical_formula_sum 'Sr1 Eu1 Co2 O6'
_space_group_name_H-M_alt 'P 1'
_space_group_IT_number 1
_space_group_name_Hall 'P 1'
_cell_length_a 3.743
_cell_length_b 3.743
_cell_length_c 7.527
_cell_angle_alpha 90.00
_cell_angle_beta 90.00
_cell_angle_gamma 90.00
loop_
_atom_site_label
_atom_site_type_symbol
_atom_site_fract_x
_atom_site_fract_y
_atom_site_fract_z
O1 O 0.000 0.500 0.236
O2 O 0.500 0.500 0.000
O3 O 0.000 0.500 0.764
Eu1 Eu 0.000 0.000 0.000
O4 O 0.500 0.000 0.764
O5 O 0.500 0.000 0.236
O6 O 0.500 0.500 0.500
Co1 Co 0.500 0.500 0.251
Co2 Co 0.500 0.500 0.749
Sr1 Sr 0.000 0.000 0.500
# Raw formation energy = -1.8841 eV per atom
# Final energy = -7.82 eV per atom

***

# GGA-PBEsol Mo2Pt, relaxed
data_Mo2Pt
_chemical_formula_sum 'Mo8 Pt4'
_space_group_name_H-M_alt 'P 1'
_space_group_IT_number 1
_space_group_name_Hall 'P 1'
_cell_length_a 3.921
_cell_length_b 3.921
_cell_length_c 12.033
_cell_angle_alpha 99.38
_cell_angle_beta 99.38
_cell_angle_gamma 90.00
loop_
_atom_site_label
_atom_site_type_symbol
_atom_site_fract_x
_atom_site_fract_y
_atom_site_fract_z
Pt1 Pt 0.166 0.666 0.332
Mo1 Mo 0.749 0.749 0.498
Pt2 Pt 0.916 0.916 0.832
Mo2 Mo 0.999 0.499 0.998
Mo3 Mo 0.501 0.001 0.002
Mo4 Mo 0.418 0.418 0.835
Mo5 Mo 0.668 0.168 0.335
Mo6 Mo 0.251 0.251 0.502
Pt3 Pt 0.334 0.834 0.668
Pt4 Pt 0.084 0.084 0.168
Mo7 Mo 0.582 0.582 0.165
Mo8 Mo 0.832 0.332 0.665
# ΔE_f = -0.5 eV/f.u.
# Final energy = -10.33 eV per atom
# Energy relative to the lowest polymorph listed for this composition = 0.00 eV/f.u.

***

no.,calculated volume (Å³/atom)
1,22.44
2,27.86
3,15.16
4,33.38
5,13.86
6,33.98
7,14.79
8,14.24
9,10.54
10,15.00